# 1
Zn3MoIr: single point on PBEsol structure, SCAN.

a b c (Å): 4.647 4.647 4.647
angles (deg): 90.00 90.00 90.00
Element x y z (fractional)
Zn: 0.000 0.000 0.500
Zn: 0.000 0.500 0.000
Zn: 0.500 0.000 0.000
Mo: 0.500 0.500 0.500
Ir: 0.000 0.000 0.000

Summary:
- Energy of formation from the pure elements: 0.807 eV/atom
- Total DFT energy (no corrections): -28.499 eV per atom
- DOS(E_F): 0.37 states/eV per atom
- Calculated density: 8.0 g/cm3
- V: 20.067 Å³/atom

# 2
Zn2MoIr: single point on PBEsol structure, SCAN.

a b c (Å): 2.835 2.835 6.981
angles (deg): 90.00 90.00 90.00
Element x y z (fractional)
Zn: 0.000 0.000 0.000
Zn: 0.500 0.500 0.241
Mo: 0.500 0.500 0.736
Ir: 0.000 0.000 0.490

Summary:
- Offset from the most stable computed form: 0 meV/atom
- Energy of formation from the pure elements: -0.199 eV/atom
- Total DFT energy (no corrections): -33.453 eV per atom
- DOS(E_F): 0.41 states/eV per atom
- Calculated density: 12.4 g/cm3
- V: 14.025 Å³/atom

# 3
ZrMoIr2: single point on PBEsol structure, SCAN.

a b c (Å): 4.506 4.506 4.506
angles (deg): 60.00 60.00 60.00
Element x y z (fractional)
Zr: 0.000 0.000 0.000
Mo: 0.500 0.500 0.500
Ir: 0.250 0.250 0.250
Ir: 0.750 0.750 0.750

Summary:
- Energy of formation from the pure elements: -0.195 eV/atom
- Total DFT energy (no corrections): -52.140 eV per atom
- DOS(E_F): 1.79 states/eV per atom
- Calculated density: 14.7 g/cm3
- V: 16.169 Å³/atom

# 4
ZrMoIr2: single point on PBEsol structure, SCAN.

a b c (Å): 2.918 3.778 5.847
angles (deg): 90.00 90.00 90.00
Element x y z (fractional)
Zr: 0.000 0.000 0.000
Mo: 0.500 0.500 0.692
Ir: 0.000 0.000 0.503
Ir: 0.500 0.500 0.227

Summary:
- Energy of formation from the pure elements: -0.337 eV/atom
- Total DFT energy (no corrections): -52.283 eV per atom
- DOS(E_F): 0.86 states/eV per atom
- Calculated density: 14.7 g/cm3
- V: 16.118 Å³/atom

# 5
ZrMoIr: single point on PBEsol structure, SCAN.

a b c (Å): 4.316 4.316 4.316
angles (deg): 60.00 60.00 60.00
Element x y z (fractional)
Zr: 0.000 0.000 0.000
Mo: 0.750 0.750 0.750
Ir: 0.500 0.500 0.500

Summary:
- Energy of formation from the pure elements: 0.217 eV/atom
- Total DFT energy (no corrections): -45.344 eV per atom
- DOS(E_F): 1.04 states/eV per atom
- Calculated density: 11.1 g/cm3
- V: 18.955 Å³/atom

# 6
IrN: single point on PBEsol structure, SCAN.

a b c (Å): 2.810 2.810 6.544
angles (deg): 90.00 90.00 120.00
Element x y z (fractional)
Ir: 0.333 0.667 0.000
Ir: 0.667 0.333 0.500
N: 0.333 0.667 0.686
N: 0.667 0.333 0.186

Summary:
- Offset from the most stable computed form: 0 meV/atom
- Total DFT energy (no corrections): -39.454 eV per atom
- DOS(E_F): 0.57 states/eV per atom
- Calculated density: 15.3 g/cm3
- V: 11.188 Å³/atom
- ΔE_f (raw): 0.7412 eV per atom

# 7
IrN: single point on PBEsol structure, SCAN.

a b c (Å): 3.078 3.078 3.078
angles (deg): 60.00 60.00 60.00
Element x y z (fractional)
Ir: 0.000 0.000 0.000
N: 0.500 0.500 0.500

Summary:
- Offset from the most stable computed form: 706 meV/atom
- Total DFT energy (no corrections): -38.748 eV per atom
- DOS(E_F): 1.51 states/eV per atom
- Calculated density: 16.6 g/cm3
- V: 10.310 Å³/atom
- ΔE_f (raw): 1.4474 eV per atom

# 8
IrN2: single point on PBEsol structure, SCAN.

a b c (Å): 3.057 3.057 7.404
angles (deg): 90.00 90.00 120.00
Element x y z (fractional)
Ir: 0.333 0.667 0.250
Ir: 0.667 0.333 0.750
N: 0.000 0.000 0.085
N: 0.000 0.000 0.415
N: 0.000 0.000 0.585
N: 0.000 0.000 0.915

Summary:
- Total DFT energy (no corrections): -28.878 eV per atom
- DOS(E_F): 0.70 states/eV per atom
- Calculated density: 12.2 g/cm3
- V: 9.989 Å³/atom
- ΔE_f (raw): 1.0155 eV per atom

Number 1: total magnetization 4.3 μB per formula unit. Number 2: total magnetization 0.0 μB per formula unit. Number 3: total magnetization 0.0 μB per formula unit. Number 4: total magnetization 0.0 μB per formula unit. Number 5: total magnetization 0.0 μB per formula unit. Number 6: total magnetization 0.0 μB per formula unit. Number 7: total magnetization 0.3 μB per formula unit. Number 8: total magnetization 0.0 μB per formula unit.